No. 1
A plane-wave DFT calculation with PBE-GGA was carried out for a relaxed Pm5Tl2Sn crystal.

Structure (CIF):
```
data_Pm5Tl2Sn
_chemical_formula_sum 'Pm20 Tl8 Sn4'
_space_group_name_H-M_alt 'I 4/m c m'
_space_group_IT_number 140
_space_group_name_Hall '-I 4 2c'
_cell_length_a 8.6434
_cell_length_b 8.6434
_cell_length_c 13.2413
_cell_angle_alpha 90.00
_cell_angle_beta 90.00
_cell_angle_gamma 90.00
loop_
_atom_site_label
_atom_site_fract_x
_atom_site_fract_y
_atom_site_fract_z
Pm1 0.0000 0.0000 0.0000
Pm2 0.1588 0.3412 0.1518
Tl1 0.1402 0.3598 0.5000
Sn1 0.0000 0.0000 0.2500
```

**Spin magnetization**: 0.000 μB/f.u.
**Formation enthalpy at 0 K**: -0.418 eV/atom

No. 2
A plane-wave DFT calculation with PBE-GGA was carried out for a relaxed CrHCl crystal.

Structure (CIF):
```
data_CrHCl
_chemical_formula_sum 'Cr4 H4 Cl4'
_space_group_name_H-M_alt 'C 1 2/m 1'
_space_group_IT_number 12
_cell_length_a 5.4261
_cell_length_b 3.0909
_cell_length_c 10.0249
_cell_angle_alpha 90.00
_cell_angle_beta 93.01
_cell_angle_gamma 90.00
loop_
_space_group_symop_operation_xyz
'x,y,z'
'-x,-y,-z'
'-x,y,-z'
'x,-y,z'
'x+1/2,y+1/2,z'
'-x+1/2,-y+1/2,-z'
'-x+1/2,y+1/2,-z'
'x+1/2,-y+1/2,z'
loop_
_atom_site_label
_atom_site_fract_x
_atom_site_fract_y
_atom_site_fract_z
Cr1 0.1728 0.0000 0.0670
H1 0.2077 0.5000 0.3318
Cl1 0.2016 0.0000 0.3199
```

**Spin magnetization**: 0.000 μB/f.u.
**DFT total energy**: -4.604 eV/atom

No. 3
A plane-wave DFT calculation with PBE-GGA was carried out for a relaxed PrHoB crystal.

Structure (CIF):
```
data_PrHoB
_chemical_formula_sum 'Pr16 Ho16 B16'
_space_group_name_H-M_alt 'F m m m'
_space_group_IT_number 69
_space_group_name_Hall '-F 2 2'
_cell_length_a 5.4884
_cell_length_b 11.8529
_cell_length_c 16.7264
_cell_angle_alpha 90.00
_cell_angle_beta 90.00
_cell_angle_gamma 90.00
loop_
_atom_site_label
_atom_site_fract_x
_atom_site_fract_y
_atom_site_fract_z
Pr1 0.0000 0.1386 0.0855
Ho1 0.0000 0.1311 0.3100
B1 0.0000 0.0000 0.4485
B2 0.0000 0.1301 0.5000
```

**Spin magnetization**: 0.000 μB/f.u.
**Formation enthalpy at 0 K**: 0.182 eV/atom

No. 4
A plane-wave DFT calculation with PBE-GGA was carried out for a relaxed In4Ru crystal.

Structure (CIF):
```
data_In4Ru
_chemical_formula_sum 'In8 Ru2'
_space_group_name_H-M_alt 'I 4/m m m'
_space_group_IT_number 139
_space_group_name_Hall '-I 4 2'
_cell_length_a 3.8858
_cell_length_b 3.8858
_cell_length_c 16.4119
_cell_angle_alpha 90.00
_cell_angle_beta 90.00
_cell_angle_gamma 90.00
loop_
_atom_site_label
_atom_site_fract_x
_atom_site_fract_y
_atom_site_fract_z
In1 0.0000 0.0000 0.0853
In2 0.0000 0.5000 0.2500
Ru1 0.0000 0.0000 0.5000
```

**Relative energy among the computed polymorphs**: 626.0 meV/atom
**Spin magnetization**: 1.117 μB/f.u.
**Formation enthalpy at 0 K**: 0.607 eV/atom

Q: Which value of spin magnetization does entry 1 give?
A: 0.000 μB/f.u.

Q: Look up the spin magnetization of the first one.
A: 0.000 μB/f.u.

Q: The highest spin magnetization belongs to which entry?
A: In4Ru

Q: spin magnetization of number 2 (CrHCl)?
A: 0.000 μB/f.u.